1.
Zn2IrAu | the Alexandria database | PBE | relaxed; V = 16.91 Å³/atom; formation energy = 287 meV per atom; calculated total energy = -3.3845 eV per atom
1.0
-4.1567 -1.7301 3.7537
5.7054 1.1398 0.7144
2.9384 4.0738 -3.0217
Zn Ir Au
2 1 1
direct
0.0000 0.2441 0.2441
0.0000 0.7559 0.7559
0.0000 0.0000 0.0000
0.0000 0.5000 0.5000


2.
ZnIr4Au | the Alexandria database | PBE | relaxed; V = 16.58 Å³/atom; formation energy = 506 meV per atom; calculated total energy = -6.1601 eV per atom
1.0
0.0000 3.6774 3.6774
3.6774 0.0000 3.6774
3.6774 3.6774 0.0000
Zn Ir Au
1 4 1
direct
0.7500 0.7500 0.7500
0.3752 0.8743 0.3752
0.3752 0.3752 0.3752
0.3752 0.3752 0.8743
0.8743 0.3752 0.3752
0.0000 0.0000 0.0000


3.
ZnIr3Au | the Alexandria database | PBE | relaxed; V = 23.27 Å³/atom; formation energy = 2270 meV per atom; calculated total energy = -3.9569 eV per atom
1.0
-4.5677 -0.6430 -1.5994
0.4628 -4.8209 0.6166
-1.6605 0.4252 4.5713
Ir Zn Au
3 1 1
direct
0.0000 0.5000 0.0000
0.0000 0.0000 0.5000
0.5000 0.0000 0.0000
0.5000 0.5000 0.5000
0.0000 0.0000 0.0000


4.
ZnIr2Au | the Alexandria database | PBE | relaxed; V = 15.55 Å³/atom; formation energy = 211 meV per atom; calculated total energy = -5.3570 eV per atom
1.0
5.4249 0.0025 -0.0011
2.6523 4.7324 0.0011
-3.3895 -3.4748 2.4222
Ir Au Zn
2 1 1
direct
0.7515 0.2515 0.5000
0.9865 0.9865 0.0000
0.2536 0.7536 0.5000
0.5084 0.5084 0.0000


5.
ZnIr2Au | the Alexandria database | PBE | relaxed; V = 15.19 Å³/atom; formation energy = 243 meV per atom; calculated total energy = -5.3249 eV per atom
1.0
2.8330 0.0000 0.0000
0.0000 2.8330 0.0000
0.0000 0.0000 7.5730
Zn Ir Au
1 2 1
direct
0.5000 0.5000 0.2500
0.0000 0.0000 0.0183
0.0000 0.0000 0.4817
0.5000 0.5000 0.7500


6.
Zn2IrAu | the Alexandria database | PBE | relaxed; V = 14.98 Å³/atom; formation energy = -195 meV per atom; calculated total energy = -3.8669 eV per atom
1.0
-0.3217 4.2731 1.3444
-4.3126 -1.2395 0.1879
0.3755 -0.8736 2.8681
Zn Ir Au
2 1 1
direct
0.5000 0.5000 0.0000
0.0000 0.0000 0.0000
0.0000 0.5000 0.5000
0.5000 0.0000 0.5000


7.
Zn2IrAu | the Alexandria database | PBE | relaxed; V = 15.60 Å³/atom; formation energy = 57 meV per atom; calculated total energy = -3.6143 eV per atom
1.0
9.1705 0.0212 0.0125
8.7287 2.8122 0.0125
8.7287 1.3817 2.4494
Au Zn Ir
1 2 1
direct
0.5014 0.5014 0.5014
0.0027 0.0027 0.0027
0.2514 0.2514 0.2514
0.7446 0.7446 0.7446


8.
Zn2IrAu | the Alexandria database | PBE | relaxed; V = 17.03 Å³/atom; formation energy = 163 meV per atom; calculated total energy = -3.5090 eV per atom
1.0
-1.0411 1.3253 3.5553
1.1246 -3.4133 1.6016
8.1478 2.1770 3.7516
Zn Au Ir
4 2 2
direct
0.1525 0.6250 0.2500
0.5975 0.1250 0.2500
0.8750 0.8475 0.7500
0.3750 0.4025 0.7500
0.7500 0.2500 0.5000
0.0000 0.0000 0.0000
0.5000 0.5000 0.0000
0.2500 0.7500 0.5000


9.
ZnIr2Au | the Alexandria database | PBE | relaxed; V = 15.22 Å³/atom; formation energy = 194 meV per atom; calculated total energy = -5.3748 eV per atom
1.0
3.8919 0.0000 0.0000
0.0000 3.9545 0.0000
0.0000 0.0000 3.9545
Ir Zn Au
2 1 1
direct
0.0000 0.0000 0.0000
0.0000 0.5000 0.5000
0.5000 0.5000 0.0000
0.5000 0.0000 0.5000


10.
ZnIr2Au | the Alexandria database | PBE | relaxed; V = 15.32 Å³/atom; formation energy = 232 meV per atom; calculated total energy = -5.3359 eV per atom
1.0
2.8152 0.0000 0.0000
0.0000 3.8500 0.0000
0.0000 0.0000 5.6539
Ir Au Zn
2 1 1
direct
0.0000 0.0000 0.0200
0.0000 0.0000 0.4800
0.5000 0.5000 0.7500
0.5000 0.5000 0.2500


11.
ZnIrAu3 | the Alexandria database | PBE | relaxed; ΔE to the lowest computed polymorph = 0 meV per atom; V = 25.76 Å³/atom; formation energy = 1032 meV per atom; calculated total energy = -2.9618 eV per atom
1.0
5.0499 0.0000 0.0000
0.0000 5.0499 0.0000
0.0000 0.0000 5.0499
Au Zn Ir
3 1 1
direct
0.0000 0.0000 0.5000
0.5000 0.0000 0.0000
0.0000 0.5000 0.0000
0.5000 0.5000 0.5000
0.0000 0.0000 0.0000


12.
Zn2IrAu | the Alexandria database | PBE | relaxed; V = 14.93 Å³/atom; formation energy = -196 meV per atom; calculated total energy = -3.8671 eV per atom
1.0
-3.4575 1.4824 1.6334
0.1627 -2.8580 2.9382
1.9043 2.1999 2.0344
Ir Zn Au
1 2 1
direct
0.0000 0.5000 0.5000
0.5000 0.5000 0.0000
0.0000 0.0000 0.0000
0.5000 0.0000 0.5000


13.
ZnIr2Au | the Alexandria database | PBE | relaxed; V = 15.19 Å³/atom; formation energy = 71 meV per atom; calculated total energy = -5.4976 eV per atom
1.0
2.8112 0.0000 0.0000
0.0000 4.7837 0.0093
0.0000 3.3253 4.5257
Ir Zn Au
2 1 1
direct
0.0000 0.0000 0.0000
0.5000 0.5000 0.0000
0.5000 0.5000 0.5000
0.0000 0.0000 0.5000


14.
ZnIr2Au | the Alexandria database | PBE | relaxed; V = 15.45 Å³/atom; formation energy = 84 meV per atom; calculated total energy = -5.4841 eV per atom
1.0
-2.0296 -2.8133 -1.7285
2.3213 -0.8882 -1.2800
3.4106 -4.3692 3.1065
Au Ir Zn
1 2 1
direct
0.5000 0.7634 0.7358
0.0000 0.9673 0.0328
0.5000 0.2674 0.2333
0.0000 0.5019 0.4980


15.
Zn3IrAu | the Alexandria database | PBE | relaxed; ΔE to the lowest computed polymorph = 370 meV per atom; V = 21.69 Å³/atom; formation energy = 401 meV per atom; calculated total energy = -2.7912 eV per atom
1.0
-0.3118 4.6734 0.8982
-1.5278 -0.9507 4.4166
4.5070 0.0010 1.5593
Ir Zn Au
1 3 1
direct
0.0000 0.0000 0.0000
0.0000 0.5000 0.0000
0.0000 0.0000 0.5000
0.5000 0.0000 0.0000
0.5000 0.5000 0.5000


16.
Zn6Ir5Au | the Alexandria database | PBE | relaxed; V = 14.27 Å³/atom; formation energy = -146 meV per atom; calculated total energy = -4.7486 eV per atom
1.0
-2.4848 3.1313 -1.5831
-3.8775 -0.6766 4.7473
6.5409 3.1408 1.7847
Ir Zn Au
5 6 1
direct
0.6630 0.1630 0.3260
0.3330 0.3330 0.6659
0.3370 0.8370 0.6740
0.6670 0.6670 0.3341
0.0000 0.5000 0.0000
0.5000 0.2602 0.0000
0.8298 0.0851 0.6596
0.1702 0.9149 0.3404
0.8298 0.5745 0.6596
0.5000 0.7398 0.0000
0.1702 0.4255 0.3404
0.0000 0.0000 0.0000


17.
ZnIr2Au | the Alexandria database | PBE | relaxed; V = 15.25 Å³/atom; formation energy = 204 meV per atom; calculated total energy = -5.3645 eV per atom
1.0
-0.8070 -0.4303 4.6537
4.6852 0.4248 -0.6014
-0.2277 2.8254 0.2217
Au Ir Zn
1 2 1
direct
0.0000 0.5000 0.5000
0.5000 0.5000 0.0000
0.0000 0.0000 0.0000
0.5000 0.0000 0.5000


18.
Zn7IrAu3 | the Alexandria database | PBE | relaxed; V = 16.48 Å³/atom; formation energy = -166 meV per atom; calculated total energy = -2.6764 eV per atom
1.0
2.8639 0.0000 0.0000
-1.4319 10.8460 0.0000
0.0000 0.0000 11.6706
Au Zn Ir
6 14 2
direct
0.8530 0.7059 0.5679
0.1678 0.3356 0.7500
0.1470 0.2941 0.4321
0.8530 0.7059 0.9321
0.1470 0.2941 0.0679
0.8322 0.6644 0.2500
0.5465 0.0930 0.3705
0.3048 0.6096 0.7500
0.5862 0.1724 0.9011
0.5465 0.0930 0.1295
0.7259 0.4518 0.9138
0.5862 0.1724 0.5989
0.4138 0.8276 0.4011
0.4138 0.8276 0.0989
0.2741 0.5482 0.4138
0.4535 0.9070 0.6295
0.2741 0.5482 0.0862
0.4535 0.9070 0.8705
0.6952 0.3904 0.2500
0.7259 0.4518 0.5862
0.0284 0.0568 0.7500
0.9716 0.9432 0.2500


19.
ZnIr2Au | the Alexandria database | PBE | relaxed; V = 15.42 Å³/atom; formation energy = 141 meV per atom; calculated total energy = -5.4278 eV per atom
1.0
-1.4401 2.2570 -0.7772
-2.2622 -2.5523 -3.2202
-3.3372 -1.0386 3.1677
Ir Zn Au
2 1 1
direct
0.0000 0.0000 0.0000
0.5000 0.5000 0.0000
0.5000 0.0000 0.5000
0.0000 0.5000 0.5000


20.
ZnIr2Au | the Alexandria database | PBE | relaxed; V = 15.21 Å³/atom; formation energy = 65 meV per atom; calculated total energy = -5.5031 eV per atom
1.0
-2.0779 -1.7316 4.0549
-3.5870 -2.6975 1.9012
2.0833 -4.2656 0.4533
Ir Zn Au
2 1 1
direct
0.4878 0.4878 0.5150
0.0122 0.0122 0.9850
0.7500 0.7500 0.7500
0.2500 0.2500 0.2500